VASP calculation (SCAN) on a crystal of Zr2PbW relaxed with PBEsol.

Lattice parameters (Å, degrees): 4.8158 4.8158 4.8158 60.00 60.00 60.00
Last column: nearest neighbours and their distance in Å.
Element x y z (fractional)
Pb: 0.5000 0.5000 0.5000  4 Zr 2.95, 4 W 2.95
W: 0.2500 0.2500 0.2500  4 Zr 2.95, 4 Pb 2.95
Zr: 0.0000 0.0000 0.0000  4 W 2.95, 4 Zr 2.95
Zr: 0.7500 0.7500 0.7500  4 Pb 2.95, 4 Zr 2.95

Values from the calculation:
Space-group type: No. 216
Formation energy in eV per formula unit: 1.1
Calculated volume in Å³/atom: 19.7
Size of the total moment in μB per formula unit: 0.000

VASP calculation (SCAN) on a crystal of MnRuCl2 relaxed with PBEsol.

Lattice parameters (Å, degrees): 3.0220 3.0220 8.0247 79.15 79.15 60.00
Last column: nearest neighbours and their distance in Å.
Element x y z (fractional)
Ru: 0.0000 0.0000 0.0000  2 Cl 2.26
Mn: 0.5000 0.5000 0.5000  6 Cl 2.41
Cl: 0.9038 0.9038 0.2885  1 Ru 2.26, 3 Mn 2.41
Cl: 0.0962 0.0962 0.7115  1 Ru 2.26, 3 Mn 2.41

Values from the calculation:
Space-group type: No. 166
Formation energy without anion corrections in eV per atom: -0.07
Calculated volume in Å³/atom: 15.5
Size of the total moment in μB per formula unit: 3.407

VASP calculation (SCAN) on a crystal of ScTl relaxed with PBEsol.

Lattice parameters (Å, degrees): 4.8464 6.0074 6.2165 90.00 90.00 90.00
Last column: nearest neighbours and their distance in Å.
Element x y z (fractional)
Sc: 0.7500 0.8651 0.1240  6 Tl 2.92-3.16
Sc: 0.2500 0.3651 0.3760  6 Tl 2.92-3.16
Sc: 0.7500 0.6349 0.6240  6 Tl 2.92-3.16
Sc: 0.2500 0.1349 0.8760  6 Tl 2.92-3.16
Tl: 0.7500 0.3670 0.1127  6 Sc 2.92-3.16, 2 Tl 3.22
Tl: 0.2500 0.8670 0.3873  6 Sc 2.92-3.16, 2 Tl 3.22
Tl: 0.7500 0.1330 0.6127  6 Sc 2.92-3.16, 2 Tl 3.22
Tl: 0.2500 0.6330 0.8873  6 Sc 2.92-3.16, 2 Tl 3.22

Values from the calculation:
Space-group type: No. 62
Formation energy in eV per formula unit: -0.9
Calculated volume in Å³/atom: 22.6
Size of the total moment in μB per formula unit: 0.000

VASP calculation (SCAN) on a crystal of AgPt3 relaxed with PBEsol.

Lattice parameters (Å, degrees): 2.7595 4.0028 5.5289 90.00 90.00 90.00
Last column: nearest neighbours and their distance in Å.
Element x y z (fractional)
Pt: 0.0000 0.0000 0.5000  10 Pt 2.76-2.78, 2 Ag 2.76
Pt: 0.5000 0.5000 0.2559  8 Pt 2.70-2.83, 4 Ag 2.81
Pt: 0.5000 0.5000 0.7441  8 Pt 2.70-2.83, 4 Ag 2.81
Ag: 0.0000 0.0000 0.0000  2 Ag 2.76, 10 Pt 2.76-2.81

Values from the calculation:
Space-group type: No. 47
Formation energy in eV per formula unit: 0.3
Calculated volume in Å³/atom: 15.3
Size of the total moment in μB per formula unit: 0.357

VASP calculation (SCAN) on a crystal of Rb2BSb2 relaxed with PBEsol.

Lattice parameters (Å, degrees): 4.1818 4.1818 10.7370 101.23 101.23 90.00
Last column: nearest neighbours and their distance in Å.
Element x y z (fractional)
Sb: 0.2500 0.7500 0.5000  4 Sb 2.96
Sb: 0.7500 0.2500 0.5000  4 Sb 2.96
B: 0.0000 0.0000 0.0000  8 Rb 3.53
Rb: 0.4065 0.4065 0.8130  4 B 3.53, 4 Sb 3.85, 1 Rb 3.86
Rb: 0.5935 0.5935 0.1870  4 B 3.53, 4 Sb 3.85, 1 Rb 3.86

Values from the calculation:
Space-group type: No. 139
Formation energy without anion corrections in eV per atom: 0.62
Calculated volume in Å³/atom: 36.1
Size of the total moment in μB per formula unit: 2.186

VASP calculation (SCAN) on a crystal of LiTaReS2 relaxed with PBEsol.

Lattice parameters (Å, degrees): 4.6472 4.6472 5.0278 90.00 90.00 90.00
Last column: nearest neighbours and their distance in Å.
Element x y z (fractional)
Re: 0.5000 0.5000 0.5000  4 Li 3.29, 8 S 3.42
S: 0.0000 0.5000 0.0000  2 Ta 2.32
S: 0.5000 0.0000 0.0000  2 Ta 2.32
Li: 0.0000 0.0000 0.5000  2 Ta 2.51
Ta: 0.0000 0.0000 0.0000  4 S 2.32, 2 Li 2.51

Values from the calculation:
Space-group type: No. 123
Formation energy without anion corrections in eV per atom: 1.15
Calculated volume in Å³/atom: 21.7
Size of the total moment in μB per formula unit: 4.833